Ba2Cd2Br GGA-PBE relaxed; DOS(E_F) = 15.035 states/eV/cell; total magnetic moment = 0.00 μB/cell; relative energy among the computed polymorphs = 0 meV per atom; crystal system = tetragonal
1.0
9.170 0.000 0.000
0.000 9.170 0.000
0.000 0.000 5.050
Ba Br Cd
4 2 4
direct
0.315 0.815 0.000 Ba
0.815 0.685 0.000 Ba
0.685 0.185 0.000 Ba
0.185 0.315 0.000 Ba
0.000 0.000 0.000 Br
0.500 0.500 0.000 Br
0.111 0.611 0.500 Cd
0.611 0.889 0.500 Cd
0.889 0.389 0.500 Cd
0.389 0.111 0.500 Cd